No. 1
Material: BeReAs
Method: DFT, meta-GGA SCAN
State: single point on PBEsol structure

The space group is Fmm2 (42). Its raw total energy is -31.346 eV per atom. The density of states at the Fermi level is 2.038 states/eV/cell. Its spin magnetization is 0.000 μB/cell. The energy above the most stable polymorph in this dataset comes out at 729.0 meV per atom.

Lattice parameters (Å, degrees): 6.378 6.138 2.758 82.18 72.45 25.37
Positions (direct):
1 Be 0.000 0.000 0.000
2 Re 0.351 0.351 0.649
3 As 0.674 0.674 0.326



No. 2
Material: BeReAs3
Method: DFT, meta-GGA SCAN
State: single point on PBEsol structure

The space group is Pm-3m (221). Its raw total energy is -26.005 eV per atom. The density of states at the Fermi level is 3.379 states/eV/cell. Its spin magnetization is 1.872 μB/cell.

Lattice parameters (Å, degrees): 4.322 4.322 4.322 90.00 90.00 90.00
Positions (direct):
1 Be 0.000 0.000 0.000
2 Re 0.500 0.500 0.500
3 As 0.000 0.000 0.500
4 As 0.000 0.500 0.000
5 As 0.500 0.000 0.000